A | An optimized crystal structure of PrSm2Y8, computed with PBE.

a = 10.230 Å, b = 10.230 Å, c = 5.602 Å
α = 92.78°, β = 92.78°, γ = 40.33°
Atoms (fractional coordinates):
1 Pr 0.000 0.000 0.000
2 Sm 0.284 0.284 0.751
3 Sm 0.716 0.716 0.249
4 Y 0.134 0.602 0.269
5 Y 0.187 0.187 0.233
6 Y 0.398 0.866 0.731
7 Y 0.453 0.453 0.763
8 Y 0.547 0.547 0.237
9 Y 0.602 0.134 0.269
10 Y 0.813 0.813 0.767
11 Y 0.866 0.398 0.731

Properties
spin magnetization	0.000	μB/atom


B | An optimized crystal structure of PrSm2Y8, computed with PBE.

a = 8.987 Å, b = 8.987 Å, c = 6.712 Å
α = 98.45°, β = 98.45°, γ = 43.76°
Atoms (fractional coordinates):
1 Pr 0.000 0.000 0.000
2 Sm 0.245 0.245 0.309
3 Sm 0.755 0.755 0.691
4 Y 0.173 0.648 0.594
5 Y 0.206 0.206 0.801
6 Y 0.352 0.827 0.406
7 Y 0.412 0.412 0.097
8 Y 0.588 0.588 0.903
9 Y 0.648 0.173 0.594
10 Y 0.794 0.794 0.199
11 Y 0.827 0.352 0.406

Properties
spin magnetization	0.000	μB/atom


Of them, B has the lowest stability.


A | An optimized crystal structure of PrSm2Y5, computed with PBE.

a = 7.210 Å, b = 14.432 Å, c = 5.084 Å
α = 90.00°, β = 90.00°, γ = 90.00°
Atoms (fractional coordinates):
1 Pr 0.000 0.000 0.000
2 Pr 0.500 0.500 0.000
3 Sm 0.249 0.374 0.500
4 Sm 0.251 0.874 0.500
5 Sm 0.749 0.126 0.500
6 Sm 0.751 0.626 0.500
7 Y 0.000 0.500 0.000
8 Y 0.001 0.749 0.000
9 Y 0.249 0.126 0.500
10 Y 0.251 0.626 0.500
11 Y 0.499 0.249 0.000
12 Y 0.500 0.000 0.000
13 Y 0.501 0.751 0.000
14 Y 0.749 0.374 0.500
15 Y 0.751 0.874 0.500
16 Y 0.999 0.251 0.000

Properties
spin magnetization	0.000	μB/atom


B | An optimized crystal structure of PrSm2Y5, computed with PBE.

a = 9.633 Å, b = 9.633 Å, c = 6.542 Å
α = 96.62°, β = 96.62°, γ = 62.49°
Atoms (fractional coordinates):
1 Pr 0.000 0.500 0.000
2 Pr 0.500 0.000 0.500
3 Sm 0.169 0.677 0.883
4 Sm 0.323 0.831 0.617
5 Sm 0.677 0.169 0.383
6 Sm 0.831 0.323 0.117
7 Y 0.008 0.188 0.642
8 Y 0.188 0.008 0.142
9 Y 0.214 0.394 0.479
10 Y 0.394 0.214 0.979
11 Y 0.442 0.558 0.250
12 Y 0.558 0.442 0.750
13 Y 0.606 0.786 0.021
14 Y 0.786 0.606 0.521
15 Y 0.812 0.992 0.858
16 Y 0.992 0.812 0.358

Properties
spin magnetization	0.000	μB/atom


Of them, B has the lowest stability.


A | An optimized crystal structure of Pr8Sm6Y, computed with PBE.

a = 8.386 Å, b = 8.386 Å, c = 8.386 Å
α = 73.24°, β = 73.24°, γ = 73.24°
Atoms (fractional coordinates):
1 Pr 0.086 0.086 0.086
2 Pr 0.145 0.570 0.274
3 Pr 0.274 0.145 0.570
4 Pr 0.430 0.726 0.855
5 Pr 0.570 0.274 0.145
6 Pr 0.726 0.855 0.430
7 Pr 0.855 0.430 0.726
8 Pr 0.914 0.914 0.914
9 Sm 0.109 0.783 0.580
10 Sm 0.217 0.420 0.891
11 Sm 0.420 0.891 0.217
12 Sm 0.580 0.109 0.783
13 Sm 0.783 0.580 0.109
14 Sm 0.891 0.217 0.420
15 Y 0.500 0.500 0.500

Properties
spin magnetization	0.000	μB/atom


B | An optimized crystal structure of Pr8Sm6Y, computed with PBE.

a = 9.573 Å, b = 9.573 Å, c = 6.729 Å
α = 90.00°, β = 90.00°, γ = 120.00°
Atoms (fractional coordinates):
1 Pr 0.031 0.745 0.337
2 Pr 0.255 0.286 0.337
3 Pr 0.286 0.031 0.663
4 Pr 0.333 0.667 0.386
5 Pr 0.667 0.333 0.614
6 Pr 0.714 0.969 0.337
7 Pr 0.745 0.714 0.663
8 Pr 0.969 0.255 0.663
9 Sm 0.088 0.656 0.845
10 Sm 0.344 0.432 0.845
11 Sm 0.432 0.088 0.155
12 Sm 0.568 0.912 0.845
13 Sm 0.656 0.568 0.155
14 Sm 0.912 0.344 0.155
15 Y 0.000 0.000 0.000

Properties
spin magnetization	0.000	μB/atom


Of them, B has the lowest stability.


A | An optimized crystal structure of Pr3SmY7, computed with PBE.

a = 7.156 Å, b = 7.156 Å, c = 8.771 Å
α = 90.00°, β = 90.00°, γ = 120.00°
Atoms (fractional coordinates):
1 Pr 0.000 0.500 0.000
2 Pr 0.500 0.000 0.000
3 Pr 0.500 0.500 0.000
4 Sm 0.333 0.667 0.662
5 Y 0.167 0.335 0.337
6 Y 0.167 0.833 0.337
7 Y 0.335 0.167 0.662
8 Y 0.665 0.833 0.337
9 Y 0.667 0.333 0.338
10 Y 0.833 0.167 0.662
11 Y 0.833 0.665 0.662

Properties
spin magnetization	0.000	μB/atom


B | An optimized crystal structure of Pr3SmY7, computed with PBE.

a = 7.010 Å, b = 5.591 Å, c = 10.177 Å
α = 90.00°, β = 109.50°, γ = 90.00°
Atoms (fractional coordinates):
1 Pr 0.000 0.000 0.000
2 Pr 0.282 0.500 0.498
3 Pr 0.718 0.500 0.502
4 Sm 0.500 0.000 0.000
5 Y 0.000 0.000 0.500
6 Y 0.146 0.500 0.787
7 Y 0.319 0.500 0.135
8 Y 0.421 0.000 0.329
9 Y 0.579 0.000 0.671
10 Y 0.681 0.500 0.865
11 Y 0.854 0.500 0.213

Properties
spin magnetization	0.000	μB/atom


Of them, A has the lowest stability.


A | An optimized crystal structure of Pr2SmY7, computed with PBE.

a = 6.234 Å, b = 6.243 Å, c = 9.535 Å
α = 102.65°, β = 108.98°, γ = 99.62°
Atoms (fractional coordinates):
1 Pr 0.102 0.301 0.102
2 Pr 0.898 0.699 0.898
3 Sm 0.500 0.500 0.500
4 Y 0.100 0.800 0.599
5 Y 0.299 0.399 0.799
6 Y 0.301 0.901 0.302
7 Y 0.500 0.000 0.000
8 Y 0.699 0.099 0.698
9 Y 0.701 0.601 0.201
10 Y 0.900 0.200 0.401

Properties
spin magnetization	0.000	μB/atom


B | An optimized crystal structure of Pr2SmY7, computed with PBE.

a = 14.975 Å, b = 14.975 Å, c = 3.537 Å
α = 90.00°, β = 90.00°, γ = 154.60°
Atoms (fractional coordinates):
1 Pr 0.207 0.793 0.000
2 Pr 0.793 0.207 0.000
3 Sm 0.500 0.500 0.500
4 Y 0.000 0.000 0.000
5 Y 0.155 0.352 0.000
6 Y 0.314 0.686 0.500
7 Y 0.352 0.155 0.000
8 Y 0.648 0.845 0.000
9 Y 0.686 0.314 0.500
10 Y 0.845 0.648 0.000

Properties
spin magnetization	0.000	μB/atom


Of them, B has the lowest stability.


A | An optimized crystal structure of Pr5Sm3Y3, computed with PBE.

a = 9.903 Å, b = 9.903 Å, c = 5.448 Å
α = 90.00°, β = 90.00°, γ = 120.00°
Atoms (fractional coordinates):
1 Pr 0.000 0.738 0.000
2 Pr 0.262 0.262 0.000
3 Pr 0.333 0.667 0.000
4 Pr 0.667 0.333 0.000
5 Pr 0.738 0.000 0.000
6 Sm 0.000 0.578 0.500
7 Sm 0.422 0.422 0.500
8 Sm 0.578 0.000 0.500
9 Y 0.000 0.367 0.000
10 Y 0.367 0.000 0.000
11 Y 0.633 0.633 0.000

Properties
spin magnetization	0.001	μB/atom


B | An optimized crystal structure of Pr5Sm3Y3, computed with PBE.

a = 11.449 Å, b = 11.449 Å, c = 3.485 Å
α = 90.00°, β = 90.00°, γ = 120.00°
Atoms (fractional coordinates):
1 Pr 0.000 0.661 0.000
2 Pr 0.333 0.667 0.000
3 Pr 0.339 0.339 0.000
4 Pr 0.661 0.000 0.000
5 Pr 0.667 0.333 0.000
6 Sm 0.000 0.405 0.500
7 Sm 0.405 0.000 0.500
8 Sm 0.595 0.595 0.500
9 Y 0.000 0.161 0.000
10 Y 0.161 0.000 0.000
11 Y 0.839 0.839 0.000

Properties
spin magnetization	0.000	μB/atom


Of them, A has the lowest stability.